[1]
Compound: KTeAu2
Source: Alexandria via LeMat-Bulk
Functional: PBEsol
Structure: relaxed

Properties
Formation energy (no corrections) ... 7.2 kJ per mole of atoms
Total moment ... 0.00 μB/f.u.
Crystal system ... tetragonal
D(E_F) ... 1.1 states/eV/cell
SG ... I-4m2, No. 119

abc: 4.7123 5.2672 4.7123
angles: 63.43 90.00 116.57
With the nearest neighbours (Å) after each atom.
Sites, in units of the cell vectors:
1 K 0.5000 0.0000 0.5000  8 Au 3.12-3.33, 4 Te 3.12
2 Te 0.7500 0.5000 0.7500  4 K 3.12, 8 Au 3.12-3.33
3 Au 0.0000 0.0000 0.0000  4 Te 3.12, 4 Au 3.12, 4 K 3.33
4 Au 0.2500 0.5000 0.2500  4 Au 3.12, 4 K 3.12, 4 Te 3.33

---

[2]
Compound: NaMn3Br
Source: Alexandria via LeMat-Bulk
Functional: PBEsol
Structure: relaxed

Properties
Formation energy (no corrections) ... 110.0 kJ per mole of atoms
Total moment ... 9.27 μB/f.u.
Crystal system ... cubic
D(E_F) ... 3.6 states/eV/cell
SG ... Pm-3m, No. 221

abc: 4.5659 4.5659 4.5659
angles: 90.00 90.00 90.00
With the nearest neighbours (Å) after each atom.
Sites, in units of the cell vectors:
1 Mn 0.0000 0.5000 0.0000  2 Br 2.28
2 Na 0.5000 0.5000 0.5000  12 Mn 3.23
3 Mn 0.5000 0.0000 0.0000  2 Br 2.28
4 Br 0.0000 0.0000 0.0000  6 Mn 2.28
5 Mn 0.0000 0.0000 0.5000  2 Br 2.28

---

[3]
Compound: BeMo4W
Source: Alexandria via LeMat-Bulk
Functional: PBEsol
Structure: relaxed

Properties
Total moment ... 0.00 μB/f.u.
Crystal system ... cubic
D(E_F) ... 2.3 states/eV/cell
SG ... F-43m, No. 216
Energy of formation from the pure elements ... 0.481 eV/atom

abc: 5.0884 5.0884 5.0884
angles: 60.00 60.00 60.00
With the nearest neighbours (Å) after each atom.
Sites, in units of the cell vectors:
1 Mo 0.3744 0.8768 0.3744  6 Mo 2.53-2.56
2 Mo 0.3744 0.3744 0.8768  6 Mo 2.53-2.56
3 Mo 0.8768 0.3744 0.3744  6 Mo 2.53-2.56
4 W 0.7500 0.7500 0.7500  12 Mo 2.98, 4 Be 3.12
5 Mo 0.3744 0.3744 0.3744  6 Mo 2.53-2.56
6 Be 0.0000 0.0000 0.0000  12 Mo 2.98, 4 W 3.12